{
  "formula": "ScMoRh2",
  "functional": "PBE",
  "state": "optimized geometry",
  "spacegroup": "Imm2 (44)",
  "n_ef_per_ev_fu": 4.1,
  "formation_energy_mev_per_atom": -253,
  "lattice_angstrom": [[-1.463, 2.261, 4.890], [1.463, -2.261, 4.890], [1.463, 2.261, -4.890]],
  "species": ["Sc", "Mo", "Rh", "Rh"],
  "frac_coords": [[0.000, 0.000, 0.000], [0.728, 0.228, 0.500], [0.261, 0.761, 0.500], [0.504, 0.504, 0.000]]
}